(1)
Compound: Mg4Bi2H
Source: the Alexandria database
Functional: PBE
Structure: relaxed

Results
relative energy among the computed polymorphs: 62 meV per atom

abc: 4.9653 6.0721 14.7265
angles: 90.00 120.38 90.00
Sites, in units of the cell vectors:
Mg 0.6685 0.4984 0.2771
Mg 0.6197 0.2500 0.9592
Mg 0.3803 0.7500 0.0408
Mg 0.6685 0.0016 0.2771
Mg 0.6293 0.7500 0.5813
Mg 0.3315 0.9984 0.7229
Mg 0.3315 0.5016 0.7229
Mg 0.3707 0.2500 0.4187
Bi 0.3054 0.2500 0.0818
Bi 0.6946 0.7500 0.9182
Bi 0.2851 0.7500 0.3478
Bi 0.7149 0.2500 0.6522
H 0.9153 0.2500 0.3654
H 0.0847 0.7500 0.6346

***

(2)
Compound: Mg4Bi2H
Source: the Alexandria database
Functional: PBE
Structure: relaxed

Results
relative energy among the computed polymorphs: 0 meV per atom

abc: 4.4903 4.4903 8.3459
angles: 105.61 105.61 90.00
Sites, in units of the cell vectors:
H 0.0000 0.0000 0.0000
Mg 0.8377 0.8377 0.6754
Mg 0.1623 0.1623 0.3246
Mg 0.0000 0.5000 0.0000
Mg 0.5000 0.0000 0.0000
Bi 0.6411 0.6411 0.2823
Bi 0.3589 0.3589 0.7177

***

(3)
Compound: Mg2BiH
Source: the Alexandria database
Functional: PBE
Structure: relaxed

Results
relative energy among the computed polymorphs: 179 meV per atom

abc: 5.3618 5.3618 7.0958
angles: 67.80 67.80 90.00
Sites, in units of the cell vectors:
H 0.5000 0.5000 0.0000
H 0.2500 0.7500 0.5000
Mg 0.4716 0.1250 0.2500
Mg 0.2784 0.6250 0.2500
Mg 0.3750 0.5284 0.7500
Mg 0.8750 0.7216 0.7500
Bi 0.0000 0.0000 0.0000
Bi 0.7500 0.2500 0.5000

***

(4)
Compound: Mg2BiH
Source: the Alexandria database
Functional: PBE
Structure: relaxed

Results
relative energy among the computed polymorphs: 0 meV per atom

abc: 5.8645 8.3761 6.6819
angles: 90.00 90.00 90.00
Sites, in units of the cell vectors:
Mg 0.5054 0.1059 0.0615
Mg 0.5054 0.6059 0.4385
Mg 0.0054 0.8941 0.9385
Mg 0.0054 0.3941 0.5615
Mg 0.7558 0.5000 0.9998
Mg 0.2558 0.5000 0.0001
Mg 0.2558 0.0000 0.4998
Mg 0.7558 0.0000 0.5001
Bi 0.0059 0.6984 0.3283
Bi 0.5059 0.3016 0.6717
Bi 0.5059 0.8016 0.8283
Bi 0.0059 0.1984 0.1717
H 0.0059 0.5152 0.8159
H 0.5059 0.9848 0.3159
H 0.0059 0.0152 0.6841
H 0.5059 0.4848 0.1842

***

- Which of these has the highest relative energy among the computed polymorphs?
  number 3